# 1
Compound: Sr2HfNpS6
Source: Alexandria
Functional: GGA-PBE
Structure: optimized geometry

Lattice parameters (Å, degrees): 6.867 7.288 12.064 90.00 124.25 90.00
Space group P2_1/c (No. 14)
Symmetry-distinct sites (fractional):
Sr 0.223 0.078 0.249 x4
Hf 0.000 0.000 0.500 x2
Np 0.500 0.000 0.000 x2
S 0.133 0.204 0.946 x4
S 0.249 0.691 0.948 x4
S 0.346 0.027 0.743 x4

Results
- density (g cm⁻³) = 5.21
- uncorrected formation energy (eV per atom) = -1.71


# 2
Compound: HfNp3Tl3S8
Source: Alexandria
Functional: GGA-PBE
Structure: optimized geometry

Lattice parameters (Å, degrees): 7.9131 7.9131 22.8297 90.00 90.00 120.00
Space group R-3m (No. 166, hexagonal axes)
Symmetry-distinct sites (fractional):
Hf 0.0000 0.0000 0.0000 x3
Np 0.0000 0.5000 0.0000 x9
Tl 0.0000 0.5000 0.5000 x9
S 0.0000 0.0000 0.2683 x6
S 0.0197 0.5099 0.7298 x18

Results
- density (g cm⁻³) = 7.08
- uncorrected formation energy (eV per atom) = -1.14


# 3
Compound: HfNp2Tl3S6
Source: Alexandria
Functional: GGA-PBE
Structure: optimized geometry

Lattice parameters (Å, degrees): 6.821 11.784 7.968 90.00 106.53 90.00
Space group C2/m (No. 12)
Symmetry-distinct sites (fractional):
Hf 0.000 0.000 0.000 x2
Np 0.000 0.334 0.000 x4
Tl 0.000 0.172 0.500 x4
Tl 0.000 0.500 0.500 x2
S 0.220 0.157 0.190 x8
S 0.248 0.000 0.806 x4

Results
- density (g cm⁻³) = 7.89
- uncorrected formation energy (eV per atom) = -1.05


# 4
Compound: HfNp4U3S8
Source: Alexandria
Functional: GGA-PBE
Structure: optimized geometry

Lattice parameters (Å, degrees): 7.6713 7.6713 18.9437 90.00 90.00 120.00
Space group R-3m (No. 166, hexagonal axes)
Symmetry-distinct sites (fractional):
Hf 0.0000 0.0000 0.0000 x3
Np 0.0000 0.0000 0.5000 x3
Np 0.0000 0.5000 0.5000 x9
U 0.0000 0.5000 0.0000 x9
S 0.0000 0.0000 0.2489 x6
S 0.0107 0.5053 0.7475 x18

Results
- density (g cm⁻³) = 10.82
- uncorrected formation energy (eV per atom) = -1.35


# 5
Compound: HfNpSb
Source: Alexandria
Functional: GGA-PBE
Structure: optimized geometry

Lattice parameters (Å, degrees): 4.202 3.764 8.512 90.00 90.48 90.00
Space group P2_1/m (No. 11)
Symmetry-distinct sites (fractional):
Hf 0.215 0.250 0.375 x2
Np 0.190 0.750 0.011 x2
Sb 0.290 0.250 0.716 x2

Results
- density (g cm⁻³) = 13.25
- uncorrected formation energy (eV per atom) = -0.27


# 6
Compound: HfNp3Sb5
Source: Alexandria
Functional: GGA-PBE
Structure: optimized geometry

Lattice parameters (Å, degrees): 9.2233 9.2233 6.1945 90.00 90.00 120.00
Space group P6_3/mcm (No. 193)
Symmetry-distinct sites (fractional):
Hf 0.0000 0.0000 0.0000 x2
Np 0.0000 0.3864 0.2500 x6
Sb 0.0000 0.2692 0.7500 x6
Sb 0.3333 0.6667 0.0000 x4

Results
- density (g cm⁻³) = 10.90
- uncorrected formation energy (eV per atom) = -0.39


Look up the density of the fourth one.
10.82 g cm⁻³


What is the formula in the fourth record?
HfNp4U3S8